No. 1
An optimized crystal structure of LiGa2OsRu. Source: the Alexandria database, functional PBE.

- ΔE_f: 0.980 eV per atom
- V: 98.5 Å³ per cell
- Polymorph energy (0 for the lowest one): 61.8 meV/atom

Lattice parameters (Å, degrees): 4.682 4.682 4.494 90.00 90.00 90.00
Space group P4/mmm (No. 123)
Unique sites:
Li1 0.000 0.000 0.000 x1
Ga1 0.000 0.500 0.500 x2
Os1 0.000 0.000 0.500 x1
Ru1 0.500 0.500 0.000 x1



No. 2
An optimized crystal structure of LiTbGaOs. Source: the Alexandria database, functional PBE.

- ΔE_f: -0.152 eV per atom
- V: 280.0 Å³ per cell

Lattice parameters (Å, degrees): 6.542 6.542 6.542 90.00 90.00 90.00
Space group F-43m (No. 216)
Unique sites:
Li1 0.000 0.000 0.000 x4
Tb1 0.250 0.250 0.750 x4
Ga1 0.250 0.250 0.250 x4
Os1 0.000 0.000 0.500 x4



No. 3
An optimized crystal structure of LiGa2OsW. Source: the Alexandria database, functional PBE.

- ΔE_f: 0.914 eV per atom
- V: 118.5 Å³ per cell

Lattice parameters (Å, degrees): 4.989 4.989 4.763 90.00 90.00 90.00
Space group P4/mmm (No. 123)
Unique sites:
Li1 0.000 0.000 0.000 x1
Ga1 0.000 0.500 0.500 x2
Os1 0.500 0.500 0.000 x1
W1 0.500 0.500 0.500 x1



No. 4
An optimized crystal structure of LiGaOs2W. Source: the Alexandria database, functional PBE.

- ΔE_f: 1.123 eV per atom
- V: 70.2 Å³ per cell

Lattice parameters (Å, degrees): 4.217 4.217 3.946 90.00 90.00 90.00
Space group P4/mmm (No. 123)
Unique sites:
Li1 0.000 0.000 0.000 x1
Ga1 0.000 0.000 0.500 x1
Os1 0.000 0.500 0.000 x2
W1 0.500 0.500 0.500 x1



No. 5
An optimized crystal structure of LiGaOsW. Source: the Alexandria database, functional PBE.

- ΔE_f: -0.160 eV per atom
- V: 225.1 Å³ per cell

Lattice parameters (Å, degrees): 6.083 6.083 6.083 90.00 90.00 90.00
Space group F-43m (No. 216)
Unique sites:
Li1 0.000 0.000 0.000 x4
Ga1 0.250 0.250 0.750 x4
Os1 0.000 0.000 0.500 x4
W1 0.250 0.250 0.250 x4



No. 6
An optimized crystal structure of LiGa2P. Source: the Alexandria database, functional PBE.

- ΔE_f: -0.030 eV per atom
- V: 282.0 Å³ per cell

Lattice parameters (Å, degrees): 3.6702 3.6702 24.1739 90.00 90.00 120.00
Space group R-3m (No. 166, hexagonal axes)
Unique sites:
Li1 0.0000 0.0000 0.0000 x3
Ga1 0.0000 0.0000 0.1092 x6
P1 0.0000 0.0000 0.5000 x3



No. 7
An optimized crystal structure of Li3GaP. Source: the Alexandria database, functional PBE.

- ΔE_f: 0.374 eV per atom
- V: 99.5 Å³ per cell
- Polymorph energy (0 for the lowest one): 598.7 meV/atom

Lattice parameters (Å, degrees): 4.634 4.634 4.634 90.00 90.00 90.00
Space group Pm-3m (No. 221)
Unique sites:
Li1 0.000 0.000 0.500 x3
Ga1 0.000 0.000 0.000 x1
P1 0.500 0.500 0.500 x1



No. 8
An optimized crystal structure of Li5GaP2. Source: the Alexandria database, functional PBE.

- ΔE_f: -0.430 eV per atom
- V: 262.8 Å³ per cell

Lattice parameters (Å, degrees): 4.3341 4.3341 16.1521 90.00 90.00 120.00
Space group P6_3/mmc (No. 194)
Unique sites:
Li1 0.0000 0.0000 0.1484 x4
Li2 0.3333 0.6667 0.0560 x4
Li3 0.3333 0.6667 0.2500 x2
Ga1 0.3333 0.6667 0.7500 x2
P1 0.3333 0.6667 0.6055 x4